Run a
TbNd5Y3: relaxed, GGA-PBE.

Structure (CIF):
```
data_TbNd5Y3
_chemical_formula_sum 'Tb2 Nd10 Y6'
_cell_length_a 10.580
_cell_length_b 10.580
_cell_length_c 11.740
_cell_angle_alpha 120.40
_cell_angle_beta 120.40
_cell_angle_gamma 34.63
_symmetry_space_group_name_H-M 'P 1'
_symmetry_Int_Tables_number 1
_symmetry_space_group_name_Hall 'P 1'
loop_
_atom_site_label
_atom_site_type_symbol
_atom_site_fract_x
_atom_site_fract_y
_atom_site_fract_z
Tb1 Tb 0.106 0.894 0.750
Tb2 Tb 0.894 0.106 0.250
Nd1 Nd 0.007 0.634 0.165
Nd2 Nd 0.183 0.538 0.842
Nd3 Nd 0.366 0.993 0.335
Nd4 Nd 0.408 0.592 0.250
Nd5 Nd 0.462 0.817 0.658
Nd6 Nd 0.538 0.183 0.342
Nd7 Nd 0.592 0.408 0.750
Nd8 Nd 0.634 0.007 0.665
Nd9 Nd 0.817 0.462 0.158
Nd10 Nd 0.993 0.366 0.835
Y1 Y 0.000 0.000 0.000
Y2 Y 0.000 0.000 0.500
Y3 Y 0.048 0.600 0.471
Y4 Y 0.400 0.952 0.029
Y5 Y 0.600 0.048 0.971
Y6 Y 0.952 0.400 0.529
```

Properties
M_tot (μB/f.u.): 0.00
DOS(E_F) (states/eV per atom): 1.433
Calculated density (Mg/m³): 6.02


Run b
TbNd5Y3: relaxed, GGA-PBE.

Structure (CIF):
```
data_TbNd5Y3
_chemical_formula_sum 'Tb2 Nd10 Y6'
_cell_length_a 9.674
_cell_length_b 9.674
_cell_length_c 9.967
_cell_angle_alpha 120.44
_cell_angle_beta 120.44
_cell_angle_gamma 74.82
_symmetry_space_group_name_H-M 'P 1'
_symmetry_Int_Tables_number 1
_symmetry_space_group_name_Hall 'P 1'
loop_
_atom_site_label
_atom_site_type_symbol
_atom_site_fract_x
_atom_site_fract_y
_atom_site_fract_z
Tb1 Tb 0.249 0.249 0.091
Tb2 Tb 0.751 0.751 0.909
Nd1 Nd 0.100 0.604 0.759
Nd2 Nd 0.229 0.229 0.737
Nd3 Nd 0.247 0.753 0.500
Nd4 Nd 0.274 0.274 0.451
Nd5 Nd 0.396 0.900 0.241
Nd6 Nd 0.604 0.100 0.759
Nd7 Nd 0.726 0.726 0.549
Nd8 Nd 0.753 0.247 0.500
Nd9 Nd 0.771 0.771 0.263
Nd10 Nd 0.900 0.396 0.241
Y1 Y 0.000 0.000 0.000
Y2 Y 0.007 0.007 0.325
Y3 Y 0.486 0.486 0.148
Y4 Y 0.500 0.500 0.500
Y5 Y 0.514 0.514 0.852
Y6 Y 0.993 0.993 0.675
```

Properties
M_tot (μB/f.u.): 0.00
DOS(E_F) (states/eV per atom): 1.608
Calculated density (Mg/m³): 5.49


Which one sits at the bottom of the stability order? run b does.


Run a
Tb12Nd7Y: relaxed, GGA-PBE.

Structure (CIF):
```
data_Tb12Nd7Y
_chemical_formula_sum 'Tb12 Nd7 Y1'
_cell_length_a 8.835
_cell_length_b 8.835
_cell_length_c 8.835
_cell_angle_alpha 86.07
_cell_angle_beta 86.07
_cell_angle_gamma 86.07
_symmetry_space_group_name_H-M 'P 1'
_symmetry_Int_Tables_number 1
_symmetry_space_group_name_Hall 'P 1'
loop_
_atom_site_label
_atom_site_type_symbol
_atom_site_fract_x
_atom_site_fract_y
_atom_site_fract_z
Tb1 Tb 0.004 0.366 0.883
Tb2 Tb 0.117 0.996 0.634
Tb3 Tb 0.226 0.752 0.353
Tb4 Tb 0.248 0.647 0.774
Tb5 Tb 0.353 0.226 0.752
Tb6 Tb 0.366 0.883 0.004
Tb7 Tb 0.634 0.117 0.996
Tb8 Tb 0.647 0.774 0.248
Tb9 Tb 0.752 0.353 0.226
Tb10 Tb 0.774 0.248 0.647
Tb11 Tb 0.883 0.004 0.366
Tb12 Tb 0.996 0.634 0.117
Nd1 Nd 0.000 0.000 0.000
Nd2 Nd 0.101 0.345 0.421
Nd3 Nd 0.345 0.421 0.101
Nd4 Nd 0.421 0.101 0.345
Nd5 Nd 0.579 0.899 0.655
Nd6 Nd 0.655 0.579 0.899
Nd7 Nd 0.899 0.655 0.579
Y1 Y 0.500 0.500 0.500
```

Properties
M_tot (μB/f.u.): 0.00
DOS(E_F) (states/eV per atom): 1.850
Calculated density (Mg/m³): 7.29


Run b
Tb12Nd7Y: relaxed, GGA-PBE.

Structure (CIF):
```
data_Tb12Nd7Y
_chemical_formula_sum 'Tb12 Nd7 Y1'
_cell_length_a 9.859
_cell_length_b 9.859
_cell_length_c 9.859
_cell_angle_alpha 109.47
_cell_angle_beta 109.47
_cell_angle_gamma 109.47
_symmetry_space_group_name_H-M 'P 1'
_symmetry_Int_Tables_number 1
_symmetry_space_group_name_Hall 'P 1'
loop_
_atom_site_label
_atom_site_type_symbol
_atom_site_fract_x
_atom_site_fract_y
_atom_site_fract_z
Tb1 Tb 0.001 0.753 0.248
Tb2 Tb 0.247 0.248 0.495
Tb3 Tb 0.247 0.752 0.999
Tb4 Tb 0.248 0.001 0.753
Tb5 Tb 0.248 0.495 0.247
Tb6 Tb 0.495 0.247 0.248
Tb7 Tb 0.505 0.753 0.752
Tb8 Tb 0.752 0.505 0.753
Tb9 Tb 0.752 0.999 0.247
Tb10 Tb 0.753 0.248 0.001
Tb11 Tb 0.753 0.752 0.505
Tb12 Tb 0.999 0.247 0.752
Nd1 Nd 0.000 0.000 0.500
Nd2 Nd 0.000 0.500 0.000
Nd3 Nd 0.000 0.500 0.500
Nd4 Nd 0.500 0.000 0.000
Nd5 Nd 0.500 0.000 0.500
Nd6 Nd 0.500 0.500 0.000
Nd7 Nd 0.500 0.500 0.500
Y1 Y 0.000 0.000 0.000
```

Properties
M_tot (μB/f.u.): 0.00
DOS(E_F) (states/eV per atom): 1.425
Calculated density (Mg/m³): 6.77


Which one sits at the bottom of the stability order? run b does.


Run a
TbNd4Y3: relaxed, GGA-PBE.

Structure (CIF):
```
data_TbNd4Y3
_chemical_formula_sum 'Tb2 Nd8 Y6'
_cell_length_a 11.645
_cell_length_b 7.366
_cell_length_c 6.356
_cell_angle_alpha 90.00
_cell_angle_beta 90.00
_cell_angle_gamma 90.00
_symmetry_space_group_name_H-M 'P 1'
_symmetry_Int_Tables_number 1
_symmetry_space_group_name_Hall 'P 1'
loop_
_atom_site_label
_atom_site_type_symbol
_atom_site_fract_x
_atom_site_fract_y
_atom_site_fract_z
Tb1 Tb 0.000 0.124 0.000
Tb2 Tb 0.500 0.876 0.500
Nd1 Nd 0.000 0.373 0.503
Nd2 Nd 0.000 0.627 0.002
Nd3 Nd 0.250 0.374 0.834
Nd4 Nd 0.250 0.626 0.334
Nd5 Nd 0.500 0.373 0.502
Nd6 Nd 0.500 0.627 0.003
Nd7 Nd 0.750 0.374 0.834
Nd8 Nd 0.750 0.626 0.334
Y1 Y 0.000 0.878 0.500
Y2 Y 0.250 0.122 0.335
Y3 Y 0.250 0.878 0.835
Y4 Y 0.500 0.122 0.000
Y5 Y 0.750 0.122 0.335
Y6 Y 0.750 0.878 0.835
```

Properties
M_tot (μB/f.u.): 0.00
DOS(E_F) (states/eV per atom): 1.879
Calculated density (Mg/m³): 6.11


Run b
TbNd4Y3: relaxed, GGA-PBE.

Structure (CIF):
```
data_TbNd4Y3
_chemical_formula_sum 'Tb1 Nd4 Y3'
_cell_length_a 12.031
_cell_length_b 12.031
_cell_length_c 6.866
_cell_angle_alpha 106.20
_cell_angle_beta 106.20
_cell_angle_gamma 16.71
_symmetry_space_group_name_H-M 'P 1'
_symmetry_Int_Tables_number 1
_symmetry_space_group_name_Hall 'P 1'
loop_
_atom_site_label
_atom_site_type_symbol
_atom_site_fract_x
_atom_site_fract_y
_atom_site_fract_z
Tb1 Tb 0.000 0.000 0.000
Nd1 Nd 0.240 0.240 0.237
Nd2 Nd 0.376 0.376 0.631
Nd3 Nd 0.624 0.624 0.369
Nd4 Nd 0.760 0.760 0.763
Y1 Y 0.377 0.377 0.119
Y2 Y 0.500 0.500 0.500
Y3 Y 0.623 0.623 0.881
```

Properties
M_tot (μB/f.u.): 0.00
DOS(E_F) (states/eV per atom): 1.805
Calculated density (Mg/m³): 6.07


Which one sits at the bottom of the stability order? run b does.


Run a
Tb4Nd7Y: relaxed, GGA-PBE.

Structure (CIF):
```
data_Tb4Nd7Y
_chemical_formula_sum 'Tb4 Nd7 Y1'
_cell_length_a 6.348
_cell_length_b 7.324
_cell_length_c 9.037
_cell_angle_alpha 90.02
_cell_angle_beta 103.51
_cell_angle_gamma 90.00
_symmetry_space_group_name_H-M 'P 1'
_symmetry_Int_Tables_number 1
_symmetry_space_group_name_Hall 'P 1'
loop_
_atom_site_label
_atom_site_type_symbol
_atom_site_fract_x
_atom_site_fract_y
_atom_site_fract_z
Tb1 Tb 0.221 0.000 0.165
Tb2 Tb 0.278 0.248 0.833
Tb3 Tb 0.722 0.752 0.167
Tb4 Tb 0.779 0.000 0.835
Nd1 Nd 0.000 0.000 0.500
Nd2 Nd 0.222 0.500 0.165
Nd3 Nd 0.279 0.752 0.834
Nd4 Nd 0.499 0.248 0.501
Nd5 Nd 0.501 0.752 0.499
Nd6 Nd 0.721 0.248 0.166
Nd7 Nd 0.778 0.500 0.835
Y1 Y 0.000 0.500 0.500
```

Properties
M_tot (μB/f.u.): 0.00
DOS(E_F) (states/eV per atom): 1.286
Calculated density (Mg/m³): 7.05


Run b
Tb4Nd7Y: relaxed, GGA-PBE.

Structure (CIF):
```
data_Tb4Nd7Y
_chemical_formula_sum 'Tb4 Nd7 Y1'
_cell_length_a 6.796
_cell_length_b 6.796
_cell_length_c 12.871
_cell_angle_alpha 114.89
_cell_angle_beta 114.89
_cell_angle_gamma 53.03
_symmetry_space_group_name_H-M 'P 1'
_symmetry_Int_Tables_number 1
_symmetry_space_group_name_Hall 'P 1'
loop_
_atom_site_label
_atom_site_type_symbol
_atom_site_fract_x
_atom_site_fract_y
_atom_site_fract_z
Tb1 Tb 0.065 0.065 0.320
Tb2 Tb 0.365 0.365 0.224
Tb3 Tb 0.635 0.635 0.776
Tb4 Tb 0.935 0.935 0.680
Nd1 Nd 0.000 0.000 0.000
Nd2 Nd 0.208 0.208 0.921
Nd3 Nd 0.238 0.238 0.678
Nd4 Nd 0.371 0.371 0.501
Nd5 Nd 0.629 0.629 0.499
Nd6 Nd 0.762 0.762 0.322
Nd7 Nd 0.792 0.792 0.079
Y1 Y 0.500 0.500 0.000
```

Properties
M_tot (μB/f.u.): 0.00
DOS(E_F) (states/eV per atom): 1.528
Calculated density (Mg/m³): 6.87


Which one sits at the bottom of the stability order? run b does.